Below is a PBEsol-optimized structure of LiYSi2, with properties calculated at the meta-GGA SCAN level.

a b c (Å): 3.777 4.410 5.147
angles (deg): 109.27 90.00 115.35
Fractional coordinates of all 4 atoms:
Y 0.500 0.000 0.000
Si 0.264 0.529 0.360
Si 0.736 0.471 0.640
Li 0.000 0.000 0.500

- M_tot: 0.0 Bohr magnetons per cell
- Energy above the most stable polymorph in this dataset: 0.04 eV per formula unit
- N(E_F): 0.88 states/eV/cell
- Raw formation energy: -488 meV per atom